A PBEsol-optimized structure of ReAsPb, computed with SCAN.

Space-group type: P3m1 (156)
Formation energy from the elements: 0.38 eV per atom
Total magnetization: 0.00 μB per cell
DOS(E_F): 0.420 states/eV per atom

The structure in POSCAR format:
```
ReAsPb
1.0
3.222 0.000 0.000
-1.611 2.791 0.000
0.000 0.000 6.668
Re As Pb
1 1 1
direct
0.000 0.000 0.000
0.333 0.667 0.758
0.667 0.333 0.342
```

A PBEsol-optimized structure of Zr3GaS, computed with SCAN.

Space-group type: Pm-3m (221)
Formation energy without anion corrections: 0.508 eV/atom
Total magnetization: 0.00 μB per cell
DOS(E_F): 1.306 states/eV per atom

The structure in POSCAR format:
```
Zr3GaS
1.0
4.931 0.000 0.000
0.000 4.931 0.000
0.000 0.000 4.931
Zr Ga S
3 1 1
direct
0.000 0.000 0.500
0.000 0.500 0.000
0.500 0.000 0.000
0.000 0.000 0.000
0.500 0.500 0.500
```

A PBEsol-optimized structure of ZrCuPt2, computed with SCAN.

Space-group type: I-4m2 (119)
Formation energy from the elements: -0.91 eV per atom
Total magnetization: 0.00 μB per cell
DOS(E_F): 0.328 states/eV per atom

The structure in POSCAR format:
```
ZrCuPt2
1.0
-1.923 1.923 4.155
1.923 -1.923 4.155
1.923 1.923 -4.155
Zr Cu Pt
1 1 2
direct
0.000 0.000 0.000
0.250 0.750 0.500
0.500 0.500 0.000
0.750 0.250 0.500
```